# 1
Material: NaPm3Nd3Se8
Method: DFT, PBE
State: optimized geometry

Structure (POSCAR):
```
NaPm3Nd3Se8
1.0
8.3899 0.0000 0.0000
-4.1950 7.2662 -0.0248
0.0000 -4.8202 6.8740
Na Pm Nd Se
1 3 3 8
Direct
0.0000 0.0000 0.5000
0.5000 0.0000 0.5000
0.5000 0.5000 0.5000
0.0000 0.5000 0.5000
0.0000 0.0000 0.0000
0.0000 0.5000 0.0000
0.5000 0.5000 0.0000
0.2508 0.5017 0.2525
0.7492 0.4983 0.7475
0.7482 0.4964 0.2499
0.2518 0.5036 0.7501
0.7482 0.0017 0.2500
0.2518 0.9983 0.7500
0.2535 0.0017 0.2500
0.7465 0.9983 0.7500
```

Output
For the density of states at the Fermi level, the calculation gives 0.30 states/eV per atom. The value obtained for the total magnetization is 0.000 μB per atom. The final energy comes out at -5.66 eV/atom.

---

# 2
Material: NaPm2Nd3Se6
Method: DFT, PBE
State: optimized geometry

Structure (POSCAR):
```
NaPm2Nd3Se6
1.0
-1.0410 -7.0887 1.3788
6.7648 2.6217 -0.7739
-1.6400 2.7756 6.5734
Na Pm Nd Se
1 2 3 6
Direct
0.0000 0.0000 0.0000
0.3344 0.6656 0.0000
0.6656 0.3344 0.0000
0.1643 0.8357 0.5000
0.8357 0.1643 0.5000
0.5000 0.5000 0.5000
0.9180 0.5866 0.7529
0.7514 0.7514 0.2425
0.0820 0.4134 0.2471
0.5866 0.9180 0.7529
0.2486 0.2486 0.7575
0.4134 0.0820 0.2471
```

Output
For the density of states at the Fermi level, the calculation gives 0.45 states/eV per atom. The value obtained for the total magnetization is 0.000 μB per atom. The final energy comes out at -5.63 eV/atom.

---

Formation energy from raw total energies per entry: -1.811, -1.794 eV/atom